(1)
! GGA-PBE Sc3AgO, relaxed; values from VASP
! ΔE_f (raw), meV/atom: -1215.3
! Relative energy among the computed polymorphs, meV/atom: 152
&SYSTEM
  ibrav = 0, nat = 20, ntyp = 3
/
ATOMIC_SPECIES
Sc 44.96 Sc.upf
O 16.00 O.upf
Ag 107.87 Ag.upf
ATOMIC_POSITIONS angstrom
Sc -6.1979 -0.8225 -3.0552
Sc -6.2092 -5.9264 -7.7842
Sc -9.0792 -0.2836 -4.1446
Sc -9.0679 4.8203 0.5844
Sc -2.1356 -0.5577 -1.5727
Sc -7.6049 -2.7266 -5.2185
Sc -13.1414 -0.5485 -5.6271
Sc -7.6721 1.6205 -1.9813
Sc -10.3887 -2.1575 -6.4235
Sc -10.6440 2.9448 -1.5176
Sc -4.8884 1.0513 -0.7763
Sc -4.6330 -4.0509 -5.6822
O -8.1951 -0.5662 -2.1281
O -7.0819 -0.5400 -5.0717
O -9.6249 -2.4240 -4.2988
O -5.6521 1.3178 -2.9010
Ag -3.5941 -2.0838 -3.7695
Ag -9.1843 2.8040 -4.2706
Ag -11.6830 0.9776 -3.4303
Ag -6.0928 -3.9102 -2.9292
CELL_PARAMETERS angstrom
-9.7405 6.0877 1.2057
-5.8600 0.3375 -5.5336
0.3235 -7.5314 -2.8719

=====

(2)
! GGA-PBE Ac6Sb3As2Se, relaxed; values from VASP
! ΔE_f (raw), meV/atom: -1430.1
&SYSTEM
  ibrav = 0, nat = 12, ntyp = 4
/
ATOMIC_SPECIES
Ac 227.00 Ac.upf
Sb 121.76 Sb.upf
As 74.92 As.upf
Se 78.96 Se.upf
ATOMIC_POSITIONS angstrom
Ac 0.0000 6.6664 6.8404
Ac 2.3315 4.4552 3.5262
Ac 2.3315 -0.0236 3.2943
Ac 0.0000 2.3030 0.1598
Ac 2.3315 4.3397 9.9749
Ac 0.0000 2.1876 6.6085
Sb 2.3315 4.6636 0.1673
Sb 2.3315 -0.2489 6.6234
Sb 0.0000 6.8917 3.5113
As 2.3315 4.4403 6.7702
As 0.0000 2.2024 3.3645
Se 2.3315 0.0000 0.0000
CELL_PARAMETERS angstrom
4.6630 0.0000 0.0000
0.0000 9.3272 0.3345
-2.3315 -2.6844 9.8002

=====

(3)
! GGA-PBE Tl5BiPb2, relaxed; values from VASP
! Uncorrected energy, eV per atom: -2.897
&SYSTEM
  ibrav = 0, nat = 16, ntyp = 3
/
ATOMIC_SPECIES
Tl 204.38 Tl.upf
Bi 208.98 Bi.upf
Pb 207.20 Pb.upf
ATOMIC_POSITIONS angstrom
Tl 0.0000 0.0000 0.0000
Tl 0.0000 3.5871 7.2765
Tl 0.0000 3.5173 10.9576
Tl 0.0000 3.6569 3.5954
Tl 0.0000 0.0698 3.6811
Tl 0.0000 7.1044 10.8719
Tl 2.4050 1.7196 12.7327
Tl 2.4050 5.4546 1.8203
Tl 2.4050 1.8675 5.4562
Tl 2.4050 5.3067 9.0968
Bi 0.0000 0.0000 7.2765
Bi 0.0000 3.5871 0.0000
Pb 2.4050 1.7009 9.0549
Pb 2.4050 5.4733 5.4981
Pb 2.4050 1.8862 1.7784
Pb 2.4050 5.2880 12.7746
CELL_PARAMETERS angstrom
4.8100 0.0000 0.0000
0.0000 7.1742 0.0000
0.0000 0.0000 14.5530

=====

(4)
! GGA-PBE Hf3CdC, relaxed; values from VASP
! Relative energy among the computed polymorphs, meV/atom: 645
&SYSTEM
  ibrav = 0, nat = 10, ntyp = 3
/
ATOMIC_SPECIES
C 12.01 C.upf
Hf 178.49 Hf.upf
Cd 112.41 Cd.upf
ATOMIC_POSITIONS angstrom
C 0.0000 0.0000 0.0000
C 0.0000 0.0000 4.5769
Hf 0.0000 0.0000 2.2885
Hf 0.0000 0.0000 6.8654
Hf 1.3645 2.3633 0.6986
Hf 1.3645 2.3633 3.8783
Hf 2.7289 0.0000 5.2755
Hf 2.7289 0.0000 8.4552
Cd 1.3645 2.3633 6.8654
Cd 2.7289 0.0000 2.2885
CELL_PARAMETERS angstrom
4.0934 -2.3633 0.0000
0.0000 4.7266 0.0000
0.0000 0.0000 9.1538

=====

(5)
! GGA-PBE SiMo2, relaxed; values from VASP
! ΔE_f (raw), meV/atom: 467.7
! Relative energy among the computed polymorphs, meV/atom: 795
&SYSTEM
  ibrav = 0, nat = 3, ntyp = 2
/
ATOMIC_SPECIES
Mo 95.94 Mo.upf
Si 28.09 Si.upf
ATOMIC_POSITIONS angstrom
Mo -1.6495 0.7866 1.7867
Mo -0.1920 2.5397 0.2107
Si 0.0000 0.0000 0.0000
CELL_PARAMETERS angstrom
-0.8647 3.1401 -2.1807
-3.7796 -0.3663 0.9713
0.4807 1.9394 2.6021

=====

(6)
! GGA-PBE Cu2OsAu, relaxed; values from VASP
! Relative energy among the computed polymorphs, meV/atom: 107
&SYSTEM
  ibrav = 0, nat = 4, ntyp = 3
/
ATOMIC_SPECIES
Au 196.97 Au.upf
Cu 63.55 Cu.upf
Os 190.23 Os.upf
ATOMIC_POSITIONS angstrom
Au -2.4426 -1.6080 -0.0158
Cu -0.2587 -0.1147 0.2903
Cu -7.8623 -5.0660 0.5260
Os -5.6418 -3.5310 0.9250
CELL_PARAMETERS angstrom
-4.6872 -1.7658 -1.4401
-3.2653 -3.9298 -1.0279
-2.8511 -1.1842 3.6183

=====

(7)
! GGA-PBE Si2PdPb, relaxed; values from VASP
! ΔE_f (raw), meV/atom: 80.5
&SYSTEM
  ibrav = 0, nat = 8, ntyp = 3
/
ATOMIC_SPECIES
Pb 207.20 Pb.upf
Si 28.09 Si.upf
Pd 106.42 Pd.upf
ATOMIC_POSITIONS angstrom
Pb 0.0000 0.0000 0.0000
Pb 4.5725 2.2862 4.1166
Si 2.8291 1.1431 2.0583
Si 1.7434 3.4294 2.0583
Si 3.4294 4.0297 6.1749
Si 5.7156 5.1153 6.1749
Pd 2.2862 2.2862 0.0000
Pd 2.2862 4.5725 4.1166
CELL_PARAMETERS angstrom
4.5725 0.0000 0.0000
0.0000 4.5725 0.0000
2.2862 2.2862 8.2332

=====

(8)
! GGA-PBE Pm2Th2AlGa4, relaxed; values from VASP
! Uncorrected energy, eV per atom: -4.661
&SYSTEM
  ibrav = 0, nat = 9, ntyp = 4
/
ATOMIC_SPECIES
Pm 145.00 Pm.upf
Th 232.04 Th.upf
Al 26.98 Al.upf
Ga 69.72 Ga.upf
ATOMIC_POSITIONS angstrom
Pm -2.0837 -2.4161 2.7630
Pm 2.1082 0.1796 3.6520
Th 2.5791 -5.1071 2.7504
Th 1.1494 -2.2759 1.2257
Al 0.0000 0.0000 0.0000
Ga -0.2551 -5.0039 1.5386
Ga 0.9341 -2.9559 4.2262
Ga 3.9836 -2.3792 2.4374
Ga -0.9096 0.7194 2.1888
CELL_PARAMETERS angstrom
-3.7040 5.1466 2.4390
-2.3277 -6.2872 1.0991
6.0562 -1.0959 2.8770

=====

no.,total moment (μB/f.u.)
1,0.0
2,0.0
3,0.0
4,0.0
5,0.0
6,0.0
7,0.0
8,0.0